(1)
A plane-wave DFT calculation with GGA-PBE was carried out for LaReBr2 after structural relaxation.

Values from the calculation:
Formation energy without anion corrections, eV/atom: 0.19
Space group: Pmmm
DFT total energy, Ha/atom: -0.1833
Total moment, μB per formula unit: 2.0
Energy above the most stable polymorph in this dataset, meV per atom: 465

Structure (extended XYZ):
```
4
Lattice="3.628 0.000 0.000 0.000 4.743 0.000 0.000 0.000 5.586" Properties=species:S:1:pos:R:3 pbc="T T T"
La 0.000 0.000 0.000
Re 1.814 0.000 2.793
Br 0.000 2.372 2.793
Br 1.814 2.372 0.000
```



(2)
A plane-wave DFT calculation with GGA-PBE was carried out for Ac3NdInRh after structural relaxation.

Values from the calculation:
Space group: C2/m
DFT total energy, Ha/atom: -0.1806
Total moment, μB per formula unit: 0.0

Structure (extended XYZ):
```
12
Lattice="8.501 -3.897 0.000 8.501 3.897 0.000 -2.044 0.000 6.153" Properties=species:S:1:pos:R:3 pbc="T T T"
Ac 4.602 1.955 5.585
Ac 4.717 0.000 2.237
Ac 10.355 1.955 0.568
Ac 4.602 -1.955 5.585
Ac 10.240 0.000 3.916
Ac 10.355 -1.955 0.568
Nd 7.479 2.301 3.077
Nd 7.479 -2.301 3.077
In 1.801 0.000 4.229
In 13.156 0.000 1.925
Rh 6.897 0.000 4.699
Rh 8.060 0.000 1.454
```



The lowest total moment belongs to which entry? Ac3NdInRh